Entry 1:
VASP calculation (PBE) on a relaxed RbSmCuCl6 crystal.

Calculated values
raw total energy: -3.930 eV/atom
total magnetic moment: 1.00 μB per formula unit
formation energy from raw total energies: -1.6117 eV per atom

a = 6.5947 Å, b = 6.6704 Å, c = 7.3814 Å
α = 92.87°, β = 94.25°, γ = 113.59°
Space group P1 (No. 1)
Asymmetric unit:
Rb1 0.0000 0.0000 0.0000 (multiplicity 1)
Sm1 0.3544 0.6618 0.5047 (multiplicity 1)
Cu1 0.7112 0.3183 0.4888 (multiplicity 1)
Cl1 0.0254 0.3320 0.6603 (multiplicity 1)
Cl2 0.0278 0.6045 0.2526 (multiplicity 1)
Cl3 0.4095 0.9569 0.7715 (multiplicity 1)
Cl4 0.4355 0.3466 0.2959 (multiplicity 1)
Cl5 0.6618 0.9900 0.3316 (multiplicity 1)
Cl6 0.6788 0.5692 0.6980 (multiplicity 1)

=====

Entry 2:
VASP calculation (PBE) on a relaxed P2WCl crystal.

Calculated values
raw total energy: -6.380 eV/atom
total magnetic moment: 0.00 μB per formula unit
energy above the most stable polymorph in this dataset: 15.1 kJ/mol of atoms
formation energy from raw total energies: 0.0253 eV per atom

a = 3.2397 Å, b = 3.2397 Å, c = 22.4635 Å
α = 90.00°, β = 90.00°, γ = 120.00°
Space group R-3m (No. 166, hexagonal axes)
Asymmetric unit:
P1 0.0000 0.0000 0.2376 (multiplicity 6)
W1 0.0000 0.0000 0.5000 (multiplicity 3)
Cl1 0.0000 0.0000 0.0000 (multiplicity 3)